! TbPmTh3 PBE relaxed; values from VASP
&SYSTEM
  ibrav = 0, nat = 10, ntyp = 3
/
ATOMIC_SPECIES
Tb 158.93 Tb.upf
Pm 145.00 Pm.upf
Th 232.04 Th.upf
ATOMIC_POSITIONS crystal
Tb 0.696 0.750 0.500
Tb 0.304 0.250 0.500
Pm 0.500 0.000 0.000
Pm 0.000 0.500 0.000
Th 0.669 0.169 0.838
Th 0.669 0.669 0.838
Th 0.331 0.331 0.162
Th 0.331 0.831 0.162
Th 0.000 0.500 0.500
Th 0.000 0.000 0.500
CELL_PARAMETERS angstrom
-4.811 -1.452 -3.300
3.514 -11.319 -0.140
-1.953 5.526 5.891
! Space group   Imma
! Raw total energy   -59.554 eV/cell
! Formation energy from the elements   373 meV per atom